Here is ZrAgP at its PBEsol-relaxed geometry from the Alexandria database. Energies are from SCAN.

Total magnetization, μB per cell: 0.00
DOS(E_F), states/eV per atom: 0.61

Cell: 6.2356 6.2356 6.2356 Å, 90.00 90.00 90.00°
Last column: nearest neighbours and their distance in Å.
Space group F-43m (No. 216)
Unique sites:
Zr 0.0000 0.0000 0.0000  4 P 2.70, 4 Ag 2.70
Ag 0.2500 0.2500 0.7500  4 Zr 2.70
P 0.2500 0.2500 0.2500  4 Zr 2.70

***

Here is Zr2AgP at its PBEsol-relaxed geometry from the Alexandria database. Energies are from SCAN.

Total magnetization, μB per cell: 0.00
DOS(E_F), states/eV per atom: 0.33

Cell: 3.5928 3.5928 20.9869 Å, 90.00 90.00 120.00°
Last column: nearest neighbours and their distance in Å.
Space group R-3m (No. 166, hexagonal axes)
Unique sites:
Zr 0.0000 0.0000 0.2362  3 P 2.54
Ag 0.0000 0.0000 0.0000  6 Zr 2.91
P 0.0000 0.0000 0.5000  6 Zr 2.54

***

Here is AgPb8 at its PBEsol-relaxed geometry from the Alexandria database. Energies are from SCAN.

Total magnetization, μB per cell: 0.00
DOS(E_F), states/eV per atom: 0.43

Cell: 10.4796 10.4796 4.5993 Å, 90.00 90.00 90.00°
Last column: nearest neighbours and their distance in Å.
Space group I4/mmm (No. 139)
Unique sites:
Ag 0.0000 0.0000 0.0000  12 Pb 3.31-3.45
Pb 0.0000 0.3287 0.0000  11 Pb 3.35-3.59, 1 Ag 3.45
Pb 0.1602 0.1602 0.5000  2 Ag 3.31, 10 Pb 3.35-3.56

***

Here is Ag7Pb at its PBEsol-relaxed geometry from the Alexandria database. Energies are from SCAN.

Total magnetization, μB per cell: 0.00
DOS(E_F), states/eV per atom: 0.15

Cell: 8.2888 8.2888 8.2888 Å, 90.00 90.00 90.00°
Last column: nearest neighbours and their distance in Å.
Space group Fm-3m (No. 225)
Unique sites:
Ag 0.0000 0.0000 0.0000  12 Ag 2.93
Ag 0.0000 0.2500 0.2500  10 Ag 2.93, 2 Pb 2.93
Pb 0.0000 0.0000 0.5000  12 Ag 2.93

***

| no. | calculated formation energy (meV/atom) |
| --- | --- |
| 1 | -210 |
| 2 | -761 |
| 3 | 56 |
| 4 | 70 |